# 1
Below is an optimized crystal structure of Rb2NaGeAs2, with properties calculated at the PBE-GGA level.

a = 6.9927 Å, b = 6.7835 Å, c = 9.2808 Å
α = 111.44°, β = 112.13°, γ = 90.00°
With the nearest neighbours (Å) after each atom.
Element x y z (fractional)
As1 0.8014 0.0915 0.1830  2 Ge 2.67
As2 0.6184 0.4085 0.8170  2 Ge 2.67
As3 0.1986 0.9085 0.8170  2 Ge 2.67
As4 0.3816 0.5915 0.1830  2 Ge 2.67
Rb1 0.5853 0.8271 0.6542  5 As 3.52-3.94, 2 Na 3.63, 2 Ge 3.69
Rb2 0.0688 0.3271 0.6542  5 As 3.52-3.94, 2 Na 3.63, 2 Ge 3.69
Rb3 0.9312 0.6729 0.3458  5 As 3.52-3.94, 2 Na 3.63, 2 Ge 3.69
Rb4 0.4147 0.1729 0.3458  5 As 3.52-3.94, 2 Na 3.63, 2 Ge 3.69
Ge1 0.5000 0.2500 0.0000  4 As 2.67
Ge2 0.5000 0.7500 0.0000  4 As 2.67
Na1 0.0000 0.2500 0.0000  4 As 3.01
Na2 0.0000 0.7500 0.0000  4 As 3.01

Summary:
mass density	3.69	g/cm3
energy of formation from the pure elements	-0.35	eV/atom
electronic total energy	-3.217	eV/atom
SG	Ibam

---

# 2
Below is an optimized crystal structure of CoRe2TcH, with properties calculated at the PBE-GGA level.

a = 3.9005 Å, b = 3.9005 Å, c = 3.7495 Å
α = 90.00°, β = 90.00°, γ = 90.00°
With the nearest neighbours (Å) after each atom.
Element x y z (fractional)
Re1 0.5000 0.0000 0.0000  2 H 1.95
Re2 0.0000 0.5000 0.0000  2 H 1.95
Co1 0.0000 0.0000 0.5000  2 H 1.87
Tc1 0.5000 0.5000 0.5000  8 Re 2.71, 4 Co 2.76
H1 0.0000 0.0000 0.0000  2 Co 1.87, 4 Re 1.95

Summary:
mass density	15.44	g/cm3
electronic total energy	-9.046	eV/atom
SG	P4/mmm

---

# 3
Below is an optimized crystal structure of PmHg2Rh, with properties calculated at the PBE-GGA level.

a = 4.1659 Å, b = 5.4517 Å, c = 8.5319 Å
α = 90.00°, β = 90.00°, γ = 112.46°
With the nearest neighbours (Å) after each atom.
Element x y z (fractional)
Pm1 0.9283 0.8565 0.2500  3 Rh 2.93-2.98
Pm2 0.0717 0.1435 0.7500  3 Rh 2.93-2.98
Hg1 0.6395 0.2790 0.4510  3 Rh 2.83-2.90, 3 Hg 2.93-3.16
Hg2 0.3605 0.7210 0.5490  3 Rh 2.83-2.90, 3 Hg 2.93-3.16
Hg3 0.3605 0.7210 0.9510  3 Rh 2.83-2.90, 3 Hg 2.93-3.16
Hg4 0.6395 0.2790 0.0490  3 Rh 2.83-2.90, 3 Hg 2.93-3.16
Rh1 0.7764 0.5527 0.7500  6 Hg 2.83-2.90, 3 Pm 2.93-2.98
Rh2 0.2236 0.4473 0.2500  6 Hg 2.83-2.90, 3 Pm 2.93-2.98

Summary:
mass density	12.04	g/cm3
distance to the lowest polymorph of the same formula	0.000	eV/atom
energy of formation from the pure elements	-0.44	eV/atom
electronic total energy	-3.612	eV/atom
SG	Cmcm

---

# 4
Below is an optimized crystal structure of CeDy12Er7, with properties calculated at the PBE-GGA level.

a = 9.7896 Å, b = 9.7897 Å, c = 9.7897 Å
α = 109.47°, β = 109.47°, γ = 109.47°
With the nearest neighbours (Å) after each atom.
Element x y z (fractional)
Dy1 0.0004 0.2607 0.7397  2 Er 2.83
Dy2 0.2603 0.5210 0.2607  2 Er 2.83
Dy3 0.7393 0.7397 0.4790  2 Er 2.83
Dy4 0.2603 0.9996 0.7393  2 Er 2.83
Dy5 0.9996 0.7393 0.2603  2 Er 2.83
Dy6 0.2607 0.7397 0.0004  2 Er 2.83
Dy7 0.7393 0.2603 0.9996  2 Er 2.83
Dy8 0.4790 0.7393 0.7397  2 Er 2.83
Dy9 0.7397 0.0004 0.2607  2 Er 2.83
Dy10 0.5210 0.2607 0.2603  2 Er 2.83
Dy11 0.2607 0.2603 0.5210  2 Er 2.83
Dy12 0.7397 0.4790 0.7393  2 Er 2.83
Er1 0.5000 0.0000 0.0000  6 Dy 2.83
Er2 0.5000 0.0000 0.5000  12 Dy 3.83-4.00
Er3 0.5000 0.5000 0.5000  6 Dy 2.83
Er4 0.0000 0.0000 0.5000  6 Dy 2.83
Er5 0.0000 0.5000 0.0000  6 Dy 2.83
Er6 0.5000 0.5000 0.0000  12 Dy 3.83-4.00
Er7 0.0000 0.5000 0.5000  12 Dy 3.83-4.00
Ce1 0.0000 0.0000 0.0000  12 Dy 4.16

Summary:
mass density	7.50	g/cm3
distance to the lowest polymorph of the same formula	0.559	eV/atom
energy of formation from the pure elements	0.74	eV/atom
electronic total energy	-3.918	eV/atom
SG	Im-3m

---

# 5
Below is an optimized crystal structure of ErTlHgCl6, with properties calculated at the PBE-GGA level.

a = 6.9779 Å, b = 6.9779 Å, c = 14.0180 Å
α = 90.00°, β = 90.00°, γ = 120.00°
With the nearest neighbours (Å) after each atom.
Element x y z (fractional)
Cl1 0.3679 0.9907 0.6410  1 Er 2.64, 1 Hg 2.72
Cl2 0.6321 0.6228 0.1410  1 Er 2.64, 1 Hg 2.72
Cl3 0.0093 0.3772 0.6410  1 Er 2.64, 1 Hg 2.72
Cl4 0.3679 0.3772 0.8590  1 Er 2.64, 1 Hg 2.72
Cl5 0.0093 0.6321 0.8590  1 Er 2.64, 1 Hg 2.72
Cl6 0.6321 0.0093 0.3590  1 Er 2.64, 1 Hg 2.72
Cl7 0.3772 0.3679 0.3590  1 Er 2.64, 1 Hg 2.72
Cl8 0.3772 0.0093 0.1410  1 Er 2.64, 1 Hg 2.72
Cl9 0.6228 0.9907 0.8590  1 Er 2.64, 1 Hg 2.72
Cl10 0.9907 0.6228 0.3590  1 Er 2.64, 1 Hg 2.72
Cl11 0.6228 0.6321 0.6410  1 Er 2.64, 1 Hg 2.72
Cl12 0.9907 0.3679 0.1410  1 Er 2.64, 1 Hg 2.72
Er1 0.3333 0.6667 0.7500  6 Cl 2.64
Er2 0.6667 0.3333 0.2500  6 Cl 2.64
Hg1 0.3333 0.6667 0.2500  6 Cl 2.72
Hg2 0.6667 0.3333 0.7500  6 Cl 2.72
Tl1 0.0000 0.0000 0.5000  6 Cl 3.27
Tl2 0.0000 0.0000 0.0000  6 Cl 3.27

Summary:
mass density	4.41	g/cm3
formation energy from raw total energies	-12.99	eV per formula unit
electronic total energy	-3.478	eV/atom
SG	P-31c

---

# 6
Below is an optimized crystal structure of La2TbY5Sc, with properties calculated at the PBE-GGA level.

a = 5.6136 Å, b = 10.4592 Å, c = 10.4657 Å
α = 90.00°, β = 90.00°, γ = 105.57°
With the nearest neighbours (Å) after each atom.
Element x y z (fractional)
La1 0.8866 0.7733 0.8137  8 Y 3.22-3.55, 1 Sc 3.53
La2 0.1162 0.2325 0.7349  1 Sc 3.32, 7 Y 3.50-3.71, 2 Tb 3.69
La3 0.1134 0.2267 0.3137  8 Y 3.22-3.55, 1 Sc 3.53
La4 0.8838 0.7675 0.2349  1 Sc 3.32, 7 Y 3.50-3.71, 2 Tb 3.69
Y1 0.2963 0.5925 0.6990  1 Tb 3.38, 3 Y 3.41-3.67, 2 Sc 3.41, 3 La 3.55-3.65
Y2 0.0150 0.0300 0.0159  2 Tb 3.26, 3 La 3.34-3.58, 1 Sc 3.61
Y3 0.6302 0.2603 0.5194  1 Sc 3.54, 4 La 3.55-3.61, 4 Y 3.67-3.77
Y4 0.9850 0.9700 0.5159  2 Tb 3.26, 3 La 3.34-3.58, 1 Sc 3.61
Y5 0.7270 0.4540 0.8272  1 Tb 3.05, 1 La 3.22, 2 Y 3.41
Y6 0.4836 0.9672 0.7402  2 Tb 3.16-3.31, 2 La 3.51
Y7 0.3698 0.7397 0.0194  1 Sc 3.54, 4 La 3.55-3.61, 4 Y 3.67-3.77
Y8 0.7037 0.4075 0.1990  1 Tb 3.38, 3 Y 3.41-3.67, 2 Sc 3.41, 3 La 3.55-3.65
Y9 0.5164 0.0328 0.2402  2 Tb 3.16-3.31, 2 La 3.51
Y10 0.2730 0.5460 0.3272  1 Tb 3.05, 1 La 3.22, 2 Y 3.41
Tb1 0.5920 0.1839 0.9589  6 Y 3.05-3.38
Tb2 0.4080 0.8161 0.4589  6 Y 3.05-3.38
Sc1 0.8059 0.6117 0.5149  2 La 3.32-3.53, 7 Y 3.41-3.63, 2 Tb 3.53
Sc2 0.1941 0.3883 0.0149  2 La 3.32-3.53, 7 Y 3.41-3.63, 2 Tb 3.53

Summary:
mass density	5.20	g/cm3
energy of formation from the pure elements	0.15	eV/atom
electronic total energy	-5.755	eV/atom
SG	Cmc2_1

---

# 7
Below is an optimized crystal structure of Na2MgBe, with properties calculated at the PBE-GGA level.

a = 5.0945 Å, b = 5.0945 Å, c = 5.0945 Å
α = 60.00°, β = 60.00°, γ = 60.00°
With the nearest neighbours (Å) after each atom.
Element x y z (fractional)
Be1 0.0000 0.0000 0.0000  8 Na 3.12
Mg1 0.5000 0.5000 0.5000  8 Na 3.12
Na1 0.7500 0.7500 0.7500  4 Mg 3.12, 4 Be 3.12
Na2 0.2500 0.2500 0.2500  4 Mg 3.12, 4 Be 3.12

Summary:
mass density	1.41	g/cm3
distance to the lowest polymorph of the same formula	0.000	eV/atom
energy of formation from the pure elements	0.58	eV/atom
electronic total energy	-1.414	eV/atom
SG	Fm-3m

---

# 8
Below is an optimized crystal structure of PaBSe4, with properties calculated at the PBE-GGA level.

a = 6.3861 Å, b = 6.5576 Å, c = 7.8478 Å
α = 90.00°, β = 90.00°, γ = 90.00°
With the nearest neighbours (Å) after each atom.
Element x y z (fractional)
Pa1 0.5000 0.0000 0.5000  4 Se 2.69
Pa2 0.0000 0.0000 0.0000  4 Se 2.75
Se1 0.1823 0.1918 0.6571  1 B 2.11
Se2 0.7681 0.6798 0.1245  1 B 2.13
Se3 0.7681 0.3202 0.8755  1 B 2.13
Se4 0.8177 0.1918 0.3429  1 B 2.11
Se5 0.8177 0.8082 0.6571  1 B 2.11
Se6 0.2319 0.6798 0.8755  1 B 2.13
Se7 0.1823 0.8082 0.3429  1 B 2.11
Se8 0.2319 0.3202 0.1245  1 B 2.13
B1 0.0000 0.5000 0.0000  4 Se 2.13
B2 0.0000 0.0000 0.5000  4 Se 2.11

Summary:
mass density	5.64	g/cm3
formation energy from raw total energies	-3.12	eV per formula unit
electronic total energy	-5.539	eV/atom
SG	P222

---

# 9
Below is an optimized crystal structure of B5C7, with properties calculated at the PBE-GGA level.

a = 6.5488 Å, b = 6.5488 Å, c = 4.9780 Å
α = 100.94°, β = 100.94°, γ = 21.83°
With the nearest neighbours (Å) after each atom.
Element x y z (fractional)
C1 0.2335 0.2335 0.3696  2 C 1.52, 2 B 1.61-1.62
C2 0.6668 0.6668 0.8333  4 C 1.52-1.58
C3 0.5963 0.5963 0.0464  2 C 1.52, 2 B 1.60
C4 0.5888 0.5888 0.5459  4 C 1.52-1.58
C5 0.0194 0.0194 0.5126  2 C 1.52, 2 B 1.67-1.70
C6 0.6644 0.6644 0.3331  4 C 1.52-1.57
C7 0.2373 0.2373 0.8661  2 C 1.53, 2 B 1.62-1.64
B1 0.9206 0.9206 0.2313  1 C 1.70, 3 B 1.80-1.81
B2 0.3186 0.3186 0.6541  2 C 1.61-1.62, 2 B 1.79
B3 0.3176 0.3176 0.1646  2 C 1.62-1.64, 2 B 1.80
B4 0.0165 0.0165 0.0081  2 C 1.60
B5 0.9202 0.9202 0.6849  1 C 1.67, 3 B 1.79-1.83

Summary:
mass density	2.94	g/cm3
distance to the lowest polymorph of the same formula	0.074	eV/atom
energy of formation from the pure elements	0.33	eV/atom
electronic total energy	-7.831	eV/atom
SG	Cm

---

# 10
Below is an optimized crystal structure of IrPbS2O8, with properties calculated at the PBE-GGA level.

a = 4.9806 Å, b = 4.9806 Å, c = 7.6576 Å
α = 85.42°, β = 85.42°, γ = 66.02°
With the nearest neighbours (Å) after each atom.
Element x y z (fractional)
Ir1 0.0000 0.0000 0.0000  6 O 2.07-2.28
S1 0.6403 0.6403 0.2218  4 O 1.48-1.51
S2 0.3597 0.3597 0.7782  4 O 1.48-1.51
O1 0.2390 0.6917 0.7807  1 S 1.51
O2 0.7535 0.7535 0.0605  1 S 1.48
O3 0.2465 0.2465 0.9395  1 S 1.48
O4 0.6917 0.2390 0.7807  1 S 1.51
O5 0.2843 0.2843 0.6105  1 S 1.48
O6 0.7157 0.7157 0.3895  1 S 1.48
O7 0.7610 0.3083 0.2193  1 S 1.51
O8 0.3083 0.7610 0.2193  1 S 1.51
Pb1 0.0000 0.0000 0.5000  6 O 2.60-2.61

Summary:
mass density	5.69	g/cm3
formation energy from raw total energies	-11.88	eV per formula unit
electronic total energy	-6.031	eV/atom
SG	C2/m

---

# 11
Below is an optimized crystal structure of MnSe, with properties calculated at the PBE-GGA level.

a = 3.8319 Å, b = 3.8319 Å, c = 9.4123 Å
α = 78.30°, β = 78.30°, γ = 60.01°
With the nearest neighbours (Å) after each atom.
Element x y z (fractional)
Mn1 0.1674 0.1674 0.9424  6 Se 2.68-2.70
Mn2 0.3881 0.3881 0.2797  6 Se 2.68-2.70
Mn3 0.2779 0.2779 0.6112  6 Se 2.68
Se1 0.5559 0.5559 0.7771  6 Mn 2.68
Se2 0.7777 0.7777 0.1111  6 Mn 2.70
Se3 0.9997 0.9997 0.4452  6 Mn 2.68

Summary:
mass density	5.73	g/cm3
formation energy from raw total energies	-0.68	eV per formula unit
electronic total energy	-6.668	eV/atom
SG	C2/m

---

# 12
Below is an optimized crystal structure of RbY2Sb, with properties calculated at the PBE-GGA level.

a = 6.3519 Å, b = 6.3519 Å, c = 11.3308 Å
α = 73.72°, β = 73.72°, γ = 90.00°
With the nearest neighbours (Å) after each atom.
Element x y z (fractional)
Rb1 0.2500 0.7500 0.5000  8 Y 4.40, 4 Sb 4.49
Rb2 0.5000 0.5000 0.0000  8 Y 4.40, 4 Sb 4.49
Sb1 0.0000 0.0000 0.0000  4 Y 3.05
Sb2 0.7500 0.2500 0.5000  4 Y 3.05
Y1 0.8756 0.6250 0.2500  2 Sb 3.05, 2 Y 3.18
Y2 0.8744 0.1250 0.2500  2 Sb 3.05, 2 Y 3.18
Y3 0.3750 0.1256 0.7500  2 Sb 3.05, 2 Y 3.18
Y4 0.8750 0.1244 0.7500  2 Sb 3.05, 2 Y 3.18

Summary:
mass density	3.05	g/cm3
formation energy from raw total energies	0.96	eV per formula unit
electronic total energy	-4.265	eV/atom
SG	I4_1/amd

---

- Among the records above, which one has the lowest electronic total energy?
  CoRe2TcH

---

What did the twelfth record say?
Below is an optimized crystal structure of RbY2Sb, with properties calculated at the PBE-GGA level.

a = 6.3519 Å, b = 6.3519 Å, c = 11.3308 Å
α = 73.72°, β = 73.72°, γ = 90.00°
With the nearest neighbours (Å) after each atom.
Element x y z (fractional)
Rb1 0.2500 0.7500 0.5000  8 Y 4.40, 4 Sb 4.49
Rb2 0.5000 0.5000 0.0000  8 Y 4.40, 4 Sb 4.49
Sb1 0.0000 0.0000 0.0000  4 Y 3.05
Sb2 0.7500 0.2500 0.5000  4 Y 3.05
Y1 0.8756 0.6250 0.2500  2 Sb 3.05, 2 Y 3.18
Y2 0.8744 0.1250 0.2500  2 Sb 3.05, 2 Y 3.18
Y3 0.3750 0.1256 0.7500  2 Sb 3.05, 2 Y 3.18
Y4 0.8750 0.1244 0.7500  2 Sb 3.05, 2 Y 3.18

Summary:
mass density	3.05	g/cm3
formation energy from raw total energies	0.96	eV per formula unit
electronic total energy	-4.265	eV/atom
SG	I4_1/amd